No. 1
Entry from the Alexandria database: crystalline CaMn2TlIn at its relaxed geometry (PBE).

Cell: 5.3268 5.3268 5.8002 Å, 90.00 90.00 90.00°
Fractional positions:
Ca1 0.0000 0.0000 0.0000
Mn1 0.0000 0.5000 0.0000
Mn2 0.5000 0.0000 0.0000
Tl1 0.5000 0.5000 0.5000
In1 0.0000 0.0000 0.5000

Output
- ΔH_f (0 K) (eV per atom) = 1.2768
- uncorrected energy (eV per atom) = -3.812
- spin magnetization (μB per cell) = 7.36
- symmetry = P4/mmm (123)
- calculated density (g cm⁻³) = 4.73



No. 2
Entry from the Alexandria database: crystalline KNa6Tl2 at its relaxed geometry (PBE).

Cell: 6.7953 6.7953 10.3789 Å, 120.90 120.90 51.41°
Fractional positions:
K1 0.0000 0.0000 0.0000
Na1 0.1151 0.1151 0.4415
Na2 0.2542 0.2542 0.8935
Na3 0.3431 0.3431 0.3470
Na4 0.6569 0.6569 0.6530
Na5 0.7458 0.7458 0.1065
Na6 0.8849 0.8849 0.5585
Tl1 0.4393 0.4393 0.7445
Tl2 0.5607 0.5607 0.2555

Output
- ΔH_f (0 K) (eV per atom) = -0.0425
- uncorrected energy (eV per atom) = -1.570
- spin magnetization (μB per cell) = 0.00
- symmetry = C2/m (12)
- calculated density (g cm⁻³) = 3.16